Entry 1:
The following is a GGA-PBE calculation of an optimized crystal structure of Ir2AuSe, from the Alexandria database.

Summary:
V	68.46	Å³/cell
DOS at the Fermi energy	3.6	states/eV/f.u.
symmetry	P4mm
raw formation energy	351	meV/atom
total moment	0.00	μB/cell

a = 2.865 Å, b = 2.865 Å, c = 8.338 Å
α = 90.00°, β = 90.00°, γ = 90.00°
Fractional coordinates of all 4 atoms:
Se  0.000  0.000  0.453
Ir  0.500  0.500  0.241
Ir  0.000  0.000  0.026
Au  0.500  0.500  0.780



Entry 2:
The following is a GGA-PBE calculation of an optimized crystal structure of K3PSe3, from the Alexandria database.

Summary:
V	954.72	Å³/cell
DOS at the Fermi energy	0.0	states/eV/f.u.
symmetry	P2_13
raw formation energy	-903	meV/atom
total moment	0.00	μB/cell

a = 9.847 Å, b = 9.847 Å, c = 9.847 Å
α = 90.00°, β = 90.00°, γ = 90.00°
Fractional coordinates of all 28 atoms:
Se  0.492  0.202  0.594
Se  0.406  0.992  0.298
Se  0.798  0.094  0.008
Se  0.298  0.406  0.992
Se  0.906  0.508  0.702
Se  0.202  0.594  0.492
Se  0.702  0.906  0.508
Se  0.594  0.492  0.202
Se  0.008  0.798  0.094
Se  0.992  0.298  0.406
Se  0.508  0.702  0.906
Se  0.094  0.008  0.798
K  0.581  0.581  0.581
K  0.081  0.919  0.419
K  0.687  0.187  0.313
K  0.419  0.081  0.919
K  0.687  0.813  0.187
K  0.187  0.687  0.813
K  0.919  0.419  0.081
K  0.313  0.313  0.313
K  0.813  0.813  0.813
K  0.813  0.187  0.687
K  0.187  0.313  0.687
K  0.313  0.687  0.187
P  0.520  0.480  0.980
P  0.480  0.980  0.520
P  0.980  0.520  0.480
P  0.020  0.020  0.020



Entry 3:
The following is a GGA-PBE calculation of an optimized crystal structure of Ce6GeS5, from the Alexandria database.

Summary:
V	284.05	Å³/cell
DOS at the Fermi energy	28.1	states/eV/f.u.
symmetry	C2/m
raw formation energy	-1827	meV/atom
total moment	3.47	μB/cell

a = 7.034 Å, b = 7.032 Å, c = 7.034 Å
α = 60.01°, β = 80.40°, γ = 70.51°
Fractional coordinates of all 12 atoms:
Ce  0.747  0.745  0.000
Ce  0.746  0.424  0.661
Ce  0.254  0.576  0.339
Ce  0.746  0.085  0.339
Ce  0.253  0.255  0.000
Ce  0.254  0.915  0.661
Ge  0.000  0.000  0.000
S  0.000  0.333  0.334
S  0.500  0.500  0.000
S  0.500  0.164  0.673
S  0.000  0.667  0.666
S  0.500  0.836  0.327



Entry 4:
The following is a GGA-PBE calculation of an optimized crystal structure of La8C3Cl3F, from the Alexandria database.

Summary:
V	369.04	Å³/cell
DOS at the Fermi energy	7.4	states/eV/f.u.
symmetry	C2/m
raw formation energy	-1134	meV/atom
total moment	0.00	μB/cell

a = 7.767 Å, b = 7.780 Å, c = 8.362 Å
α = 117.80°, β = 90.00°, γ = 119.94°
Fractional coordinates of all 15 atoms:
La  0.757  0.513  0.297
La  0.284  0.040  0.297
La  0.266  0.532  0.299
La  0.756  0.040  0.297
La  0.716  0.960  0.703
La  0.243  0.487  0.703
La  0.734  0.468  0.701
La  0.244  0.960  0.703
Cl  0.500  0.500  0.000
Cl  0.000  0.500  0.000
Cl  0.000  0.000  0.000
C  0.500  0.500  0.500
C  0.500  0.000  0.500
C  0.000  0.500  0.500
F  0.000  0.000  0.500



Entry 5:
The following is a GGA-PBE calculation of an optimized crystal structure of KHg3As, from the Alexandria database.

Summary:
V	258.90	Å³/cell
DOS at the Fermi energy	6.1	states/eV/f.u.
symmetry	Pm-3m
total moment	2.10	μB/cell
formation enthalpy at 0 K	0.562	eV per atom

a = 6.374 Å, b = 6.374 Å, c = 6.374 Å
α = 90.00°, β = 90.00°, γ = 90.00°
Fractional coordinates of all 5 atoms:
K  0.000  0.000  0.000
As  0.500  0.500  0.500
Hg  0.000  0.000  0.500
Hg  0.500  0.000  0.000
Hg  0.000  0.500  0.000



Entry 6:
The following is a GGA-PBE calculation of an optimized crystal structure of Li4EuHg, from the Alexandria database.

Summary:
V	127.15	Å³/cell
DOS at the Fermi energy	13.3	states/eV/f.u.
symmetry	F-43m
total moment	7.83	μB/cell
formation enthalpy at 0 K	-0.111	eV per atom

a = 5.644 Å, b = 5.644 Å, c = 5.644 Å
α = 60.00°, β = 60.00°, γ = 60.00°
Fractional coordinates of all 6 atoms:
Li  0.117  0.628  0.628
Li  0.628  0.628  0.117
Li  0.628  0.628  0.628
Li  0.628  0.117  0.628
Hg  0.000  0.000  0.000
Eu  0.250  0.250  0.250



Entry 7:
The following is a GGA-PBE calculation of an optimized crystal structure of InGeSb, from the Alexandria database.

Summary:
V	160.72	Å³/cell
DOS at the Fermi energy	1.0	states/eV/f.u.
symmetry	P-1
raw formation energy	70	meV/atom
total moment	0.00	μB/cell

a = 4.124 Å, b = 6.814 Å, c = 6.842 Å
α = 63.10°, β = 72.79°, γ = 72.64°
Fractional coordinates of all 6 atoms:
In  0.756  0.286  0.206
In  0.244  0.714  0.794
Ge  0.554  0.784  0.103
Ge  0.446  0.216  0.897
Sb  0.924  0.750  0.402
Sb  0.076  0.250  0.598



Entry 8:
The following is a GGA-PBE calculation of an optimized crystal structure of La4Ga2Ag, from the Alexandria database.

Summary:
V	217.39	Å³/cell
DOS at the Fermi energy	8.9	states/eV/f.u.
symmetry	R-3m
total moment	0.00	μB/cell
formation enthalpy at 0 K	-0.284	eV per atom

a = 5.209 Å, b = 5.209 Å, c = 9.728 Å
α = 74.47°, β = 74.47°, γ = 60.00°
Fractional coordinates of all 7 atoms:
La  0.205  0.205  0.385
La  0.378  0.378  0.865
La  0.622  0.622  0.135
La  0.795  0.795  0.615
Ag  0.000  0.000  0.000
Ga  0.093  0.093  0.721
Ga  0.907  0.907  0.279



Entry 9:
The following is a GGA-PBE calculation of an optimized crystal structure of IrAu3I, from the Alexandria database.

Summary:
V	131.85	Å³/cell
DOS at the Fermi energy	5.6	states/eV/f.u.
symmetry	Pm-3m
raw formation energy	984	meV/atom
total moment	0.00	μB/cell

a = 5.090 Å, b = 5.090 Å, c = 5.090 Å
α = 90.00°, β = 90.00°, γ = 90.00°
Fractional coordinates of all 5 atoms:
Ir  0.000  0.000  0.000
Au  0.500  0.000  0.000
Au  0.000  0.500  0.000
Au  0.000  0.000  0.500
I  0.500  0.500  0.500



Entry 10:
The following is a GGA-PBE calculation of an optimized crystal structure of Th4TcGe2, from the Alexandria database.

Summary:
V	399.85	Å³/cell
DOS at the Fermi energy	6.6	states/eV/f.u.
symmetry	I4_1/amd
total moment	0.00	μB/cell
formation enthalpy at 0 K	-0.334	eV per atom

a = 8.043 Å, b = 8.043 Å, c = 8.043 Å
α = 110.81°, β = 110.77°, γ = 106.87°
Fractional coordinates of all 14 atoms:
Th  0.361  0.065  0.295
Th  0.315  0.111  0.795
Th  0.935  0.639  0.704
Th  0.315  0.520  0.205
Th  0.889  0.685  0.204
Th  0.935  0.230  0.296
Th  0.770  0.065  0.705
Th  0.480  0.685  0.796
Ge  0.625  0.375  0.750
Ge  0.625  0.875  0.250
Ge  0.625  0.375  0.250
Ge  0.125  0.375  0.750
Tc  0.250  0.750  0.500
Tc  0.000  0.000  0.000



Entry 11:
The following is a GGA-PBE calculation of an optimized crystal structure of Na4Hg3Bi2, from the Alexandria database.

Summary:
V	249.28	Å³/cell
DOS at the Fermi energy	0.4	states/eV/f.u.
symmetry	C2/m
total moment	0.00	μB/cell
formation enthalpy at 0 K	-0.277	eV per atom

a = 5.108 Å, b = 5.843 Å, c = 9.847 Å
α = 72.55°, β = 90.00°, γ = 64.09°
Fractional coordinates of all 9 atoms:
Na  0.641  0.719  0.897
Na  0.949  0.103  0.646
Na  0.051  0.897  0.354
Na  0.359  0.281  0.103
Bi  0.281  0.438  0.745
Bi  0.719  0.562  0.255
Hg  0.641  0.718  0.579
Hg  0.000  0.000  0.000
Hg  0.359  0.282  0.421



Entry 12:
The following is a GGA-PBE calculation of an optimized crystal structure of NiTeRu2, from the Alexandria database.

Summary:
V	62.11	Å³/cell
DOS at the Fermi energy	4.5	states/eV/f.u.
symmetry	P2/m
raw formation energy	482	meV/atom
total moment	0.00	μB/cell

a = 4.453 Å, b = 2.984 Å, c = 4.689 Å
α = 85.56°, β = 90.00°, γ = 90.00°
Fractional coordinates of all 4 atoms:
Ru  0.000  0.968  0.984
Ru  0.000  0.532  0.516
Te  0.500  0.250  0.250
Ni  0.500  0.750  0.750



Entry 13:
The following is a GGA-PBE calculation of an optimized crystal structure of Na2PmH8Ir, from the Alexandria database.

Summary:
final energy	-47.441	eV per cell
V	124.59	Å³/cell
DOS at the Fermi energy	0.0	states/eV/f.u.
symmetry	P-3m1
total moment	0.00	μB/cell

a = 4.810 Å, b = 4.810 Å, c = 6.218 Å
α = 90.00°, β = 90.00°, γ = 120.00°
Fractional coordinates of all 12 atoms:
H  0.160  0.840  0.165
H  0.667  0.333  0.492
H  0.680  0.840  0.165
H  0.840  0.680  0.835
H  0.840  0.160  0.835
H  0.333  0.667  0.508
H  0.320  0.160  0.835
H  0.160  0.320  0.165
Na  0.333  0.667  0.862
Na  0.667  0.333  0.138
Ir  0.000  0.000  0.000
Pm  0.000  0.000  0.500